(1)
Computed, not measured: a crystal of NbFe3P6O24 relaxed with PBEsol at the SCAN level of DFT.

Calculated values
Theoretical density ... 3.33 Mg/m³
Formation energy (no corrections) ... -202 kJ/mol of atoms
Density of states at the Fermi level ... 25.91 states/eV/cell

```
data_NbFe3P6O24
_chemical_formula_sum 'Nb3 Fe9 P18 O72'
_space_group_name_H-M_alt 'R 3'
_space_group_IT_number 146
_space_group_name_Hall 'R 3'
_cell_length_a 8.1380
_cell_length_b 8.1380
_cell_length_c 21.6433
_cell_angle_alpha 90.00
_cell_angle_beta 90.00
_cell_angle_gamma 120.00
loop_
_atom_site_label
_atom_site_type_symbol
_atom_site_fract_x
_atom_site_fract_y
_atom_site_fract_z
Nb1 Nb 0.0000 0.0000 0.0000
Fe1 Fe 0.0000 0.0000 0.2785
Fe2 Fe 0.0000 0.0000 0.4887
Fe3 Fe 0.0000 0.0000 0.7873
P1 P 0.0052 0.2912 0.8841
P2 P 0.0181 0.7345 0.3894
O1 O 0.0236 0.1866 0.2237
O2 O 0.0252 0.8251 0.3264
O3 O 0.0785 0.2167 0.5370
O4 O 0.0911 0.2163 0.8347
O5 O 0.1426 0.4675 0.6125
O6 O 0.1473 0.6903 0.7171
O7 O 0.2028 0.7451 0.1071
O8 O 0.2173 0.7697 0.4039
```

---

(2)
Computed, not measured: a crystal of ZrTcSe relaxed with PBEsol at the SCAN level of DFT.

Calculated values
Theoretical density ... 8.10 Mg/m³
Formation energy (no corrections) ... -14 kJ/mol of atoms
Density of states at the Fermi level ... 2.69 states/eV/cell

```
data_ZrTcSe
_chemical_formula_sum 'Zr1 Tc1 Se1'
_space_group_name_H-M_alt 'P 3 m 1'
_space_group_IT_number 156
_space_group_name_Hall 'P 3 -2"'
_cell_length_a 3.3186
_cell_length_b 3.3186
_cell_length_c 5.7636
_cell_angle_alpha 90.00
_cell_angle_beta 90.00
_cell_angle_gamma 120.00
loop_
_atom_site_label
_atom_site_type_symbol
_atom_site_fract_x
_atom_site_fract_y
_atom_site_fract_z
Zr1 Zr 0.0000 0.0000 0.0000
Tc1 Tc 0.6667 0.3333 0.3245
Se1 Se 0.3333 0.6667 0.6491
```